Crystalline Pm5HoTe4 at its relaxed geometry. Source: the Alexandria database, functional PBE.

```
Pm5HoTe4
1.0
7.365 0.000 0.000
0.000 8.392 0.000
0.000 0.000 11.486
Pm Ho Te
10 2 8
Direct
0.284 0.753 0.828
0.284 0.247 0.828
0.916 0.500 0.000
0.284 0.753 0.172
0.284 0.247 0.172
0.716 0.747 0.328
0.716 0.253 0.328
0.084 0.000 0.500
0.716 0.253 0.672
0.716 0.747 0.672
0.918 0.000 0.000
0.082 0.500 0.500
0.995 0.000 0.753
0.614 0.756 0.000
0.614 0.244 0.000
0.995 0.000 0.247
0.005 0.500 0.253
0.386 0.744 0.500
0.386 0.256 0.500
0.005 0.500 0.747
```

Summary:
Symmetry ... No. 59
Energy relative to the elements, uncorrected ... -0.85 eV per atom



Crystalline Hg4BiPb5 at its relaxed geometry. Source: the Alexandria database, functional PBE.

```
Hg4BiPb5
1.0
3.959 0.000 0.000
0.000 3.959 0.000
0.000 0.000 18.523
Hg Bi Pb
4 1 5
Direct
0.000 0.000 0.205
0.000 0.000 0.401
0.000 0.000 0.599
0.000 0.000 0.795
0.000 0.000 0.000
0.500 0.500 0.105
0.500 0.500 0.305
0.500 0.500 0.500
0.500 0.500 0.695
0.500 0.500 0.895
```

Summary:
ΔE_f ... 0.3 eV per formula unit
Symmetry ... No. 123